VASP calculation (PBE) on a relaxed structure of Hf2AsH.

- Symmetry: Fm-3m
- DOS(E_F): 1.66 states/eV/f.u.
- DFT total energy: -28.593 eV/cell

abc: 4.4891 4.4891 4.4891
angles: 60.00 60.00 60.00
With the nearest neighbours (Å) after each atom.
Fractional positions:
H 0.0000 0.0000 0.0000  8 Hf 2.75
As 0.5000 0.5000 0.5000  8 Hf 2.75
Hf 0.2500 0.2500 0.2500  4 As 2.75, 4 H 2.75
Hf 0.7500 0.7500 0.7500  4 As 2.75, 4 H 2.75

VASP calculation (PBE) on a relaxed structure of Ta4TlRe.

- Formation energy: 57 kJ per mole of atoms
- Symmetry: F-43m
- DOS(E_F): 9.01 states/eV/f.u.

abc: 5.4262 5.4262 5.4262
angles: 60.00 60.00 60.00
With the nearest neighbours (Å) after each atom.
Fractional positions:
Ta 0.3744 0.3744 0.3744  6 Ta 2.70-2.73
Ta 0.3744 0.8767 0.3744  6 Ta 2.70-2.73
Ta 0.3744 0.3744 0.8767  6 Ta 2.70-2.73
Ta 0.8767 0.3744 0.3744  6 Ta 2.70-2.73
Tl 0.7500 0.7500 0.7500  12 Ta 3.18, 4 Re 3.32
Re 0.0000 0.0000 0.0000  12 Ta 3.18, 4 Tl 3.32

VASP calculation (PBE) on a relaxed structure of Zr3TiS8.

- Formation energy without anion corrections: -1.44 eV per atom
- Symmetry: C2/m

abc: 7.2584 7.2552 7.9868
angles: 117.53 90.00 120.01
With the nearest neighbours (Å) after each atom.
Fractional positions:
S 0.2589 0.5177 0.7805  3 Zr 2.57
S 0.2318 0.9843 0.2123  1 Ti 2.47, 2 Zr 2.57-2.58
S 0.2318 0.4637 0.2123  1 Ti 2.47, 2 Zr 2.58
S 0.7682 0.5363 0.7877  1 Ti 2.47, 2 Zr 2.58
S 0.2476 0.0157 0.7877  1 Ti 2.47, 2 Zr 2.57-2.58
S 0.7682 0.0157 0.7877  1 Ti 2.47, 2 Zr 2.57-2.58
S 0.7524 0.9843 0.2123  1 Ti 2.47, 2 Zr 2.57-2.58
S 0.7411 0.4823 0.2195  3 Zr 2.57
Zr 0.5000 0.5000 0.0000  6 S 2.57-2.58
Zr 0.5000 0.0000 0.0000  6 S 2.57-2.58
Zr 0.0000 0.5000 0.0000  6 S 2.57-2.58
Ti 0.0000 0.0000 0.0000  6 S 2.47

VASP calculation (PBE) on a relaxed structure of Cs2K5RbPd.

- Formation energy: 4 kJ per mole of atoms
- Symmetry: I4mm
- DOS(E_F): 9.02 states/eV/f.u.

abc: 9.6437 9.6437 9.6437
angles: 92.08 118.81 118.81
With the nearest neighbours (Å) after each atom.
Fractional positions:
Cs 0.5000 0.7500 0.2500  10 K 4.82-4.91, 2 Rb 4.91
Cs 0.5000 0.2500 0.7500  10 K 4.82-4.91, 2 Rb 4.91
K 0.0000 0.2346 0.7663  1 Pd 3.25
K 0.0000 0.7663 0.2346  1 Pd 3.25
K 0.4683 0.2346 0.2346  1 Pd 3.25
K 0.5317 0.7663 0.7663  1 Pd 3.25
K 0.0000 0.2459 0.2459  1 Pd 3.26
Rb 0.0000 0.7499 0.7499  1 Pd 3.38
Pd 0.0000 0.0024 0.0024  5 K 3.25-3.26, 1 Rb 3.38

VASP calculation (PBE) on a relaxed structure of Zn4IrAu3.

- Formation energy: -19 kJ per mole of atoms
- Symmetry: P4/mmm
- DOS(E_F): 1.48 states/eV/f.u.

abc: 3.0538 3.0538 13.4369
angles: 90.00 90.00 90.00
With the nearest neighbours (Å) after each atom.
Fractional positions:
Au 0.5000 0.5000 0.2418  8 Zn 2.76-2.79, 4 Au 3.05
Au 0.5000 0.5000 0.5000  8 Zn 2.77, 4 Au 3.05
Au 0.5000 0.5000 0.7582  8 Zn 2.76-2.79, 4 Au 3.05
Zn 0.0000 0.0000 0.8897  4 Ir 2.62, 4 Au 2.79
Zn 0.0000 0.0000 0.1103  4 Ir 2.62, 4 Au 2.79
Zn 0.0000 0.0000 0.3703  8 Au 2.76-2.77, 4 Zn 3.05
Zn 0.0000 0.0000 0.6297  8 Au 2.76-2.77, 4 Zn 3.05
Ir 0.5000 0.5000 0.0000  8 Zn 2.62

VASP calculation (PBE) on a relaxed structure of NpZnBiO6.

- Formation energy without anion corrections: -1.88 eV per atom
- Symmetry: P-31c
- DOS(E_F): 0.10 states/eV/f.u.

abc: 5.4171 5.4171 10.1577
angles: 90.00 90.00 120.00
With the nearest neighbours (Å) after each atom.
Fractional positions:
Np 0.3333 0.6667 0.7500  6 O 2.03
Np 0.6667 0.3333 0.2500  6 O 2.03
O 0.3616 0.3469 0.3616  1 Np 2.03, 1 Zn 2.14
O 0.3469 0.3616 0.8616  1 Np 2.03, 1 Zn 2.14
O 0.3616 0.0148 0.1384  1 Np 2.03, 1 Zn 2.14
O 0.9852 0.3469 0.1384  1 Np 2.03, 1 Zn 2.14
O 0.9852 0.6384 0.3616  1 Np 2.03, 1 Zn 2.14
O 0.6384 0.6531 0.6384  1 Np 2.03, 1 Zn 2.14
O 0.0148 0.6531 0.8616  1 Np 2.03, 1 Zn 2.14
O 0.0148 0.3616 0.6384  1 Np 2.03, 1 Zn 2.14
O 0.6531 0.0148 0.3616  1 Np 2.03, 1 Zn 2.14
O 0.6531 0.6384 0.1384  1 Np 2.03, 1 Zn 2.14
O 0.3469 0.9852 0.6384  1 Np 2.03, 1 Zn 2.14
O 0.6384 0.9852 0.8616  1 Np 2.03, 1 Zn 2.14
Zn 0.6667 0.3333 0.7500  6 O 2.14
Zn 0.3333 0.6667 0.2500  6 O 2.14
Bi 0.0000 0.0000 0.0000  6 O 2.38
Bi 0.0000 0.0000 0.5000  6 O 2.38

VASP calculation (PBE) on a relaxed structure of MgCo2HPd.

- Symmetry: P4/mmm
- DOS(E_F): 4.86 states/eV/f.u.
- DFT total energy: -24.678 eV/cell

abc: 3.6250 3.6250 4.2210
angles: 90.00 90.00 90.00
With the nearest neighbours (Å) after each atom.
Fractional positions:
H 0.0000 0.0000 0.0000  4 Co 1.81
Co 0.0000 0.5000 0.0000  2 H 1.81
Co 0.5000 0.0000 0.0000  2 H 1.81
Mg 0.0000 0.0000 0.5000  2 H 2.11
Pd 0.5000 0.5000 0.5000  4 Mg 2.56, 8 Co 2.78

VASP calculation (PBE) on a relaxed structure of Cs2Al2Sb.

- Formation energy without anion corrections: 0.09 eV per atom
- Symmetry: P4/mbm
- DOS(E_F): 3.45 states/eV/f.u.

abc: 7.5311 7.5311 6.3645
angles: 90.00 90.00 90.00
With the nearest neighbours (Å) after each atom.
Fractional positions:
Al 0.3774 0.8774 0.0000  1 Al 2.61
Al 0.1226 0.3774 0.0000  1 Al 2.61
Al 0.8774 0.6226 0.0000  1 Al 2.61
Al 0.6226 0.1226 0.0000  1 Al 2.61
Sb 0.0000 0.0000 0.0000  4 Al 2.99
Sb 0.5000 0.5000 0.0000  4 Al 2.99
Cs 0.6947 0.8053 0.5000  6 Al 3.73-4.02, 5 Cs 3.86-4.15
Cs 0.3053 0.1947 0.5000  6 Al 3.73-4.02, 5 Cs 3.86-4.15
Cs 0.1947 0.6947 0.5000  6 Al 3.73-4.02, 5 Cs 3.86-4.15
Cs 0.8053 0.3053 0.5000  6 Al 3.73-4.02, 5 Cs 3.86-4.15

VASP calculation (PBE) on a relaxed structure of AlVSiTc2.

- Formation energy without anion corrections: 0.99 eV per atom
- Symmetry: P4/mmm
- DOS(E_F): 4.56 states/eV/f.u.

abc: 4.4761 4.4761 4.4247
angles: 90.00 90.00 90.00
With the nearest neighbours (Å) after each atom.
Fractional positions:
V 0.0000 0.0000 0.0000  2 Si 2.21, 4 Tc 2.24
Al 0.5000 0.5000 0.5000  8 Tc 3.15, 4 Si 3.17
Tc 0.5000 0.0000 0.0000  2 V 2.24
Tc 0.0000 0.5000 0.0000  2 V 2.24
Si 0.0000 0.0000 0.5000  2 V 2.21

VASP calculation (PBE) on a relaxed structure of ScCoTc2.

- Formation energy: 32 kJ per mole of atoms
- Symmetry: I-42d
- DOS(E_F): 4.91 states/eV/f.u.

abc: 7.3085 7.3085 5.7056
angles: 50.17 50.17 90.00
With the nearest neighbours (Å) after each atom.
Fractional positions:
Co 0.0000 0.0000 0.0000  4 Tc 2.39, 2 Sc 2.42
Co 0.7500 0.2500 0.5000  4 Tc 2.39, 2 Sc 2.42
Sc 0.2500 0.7500 0.5000  2 Co 2.42
Sc 0.5000 0.5000 0.0000  2 Co 2.42
Tc 0.8750 0.9309 0.7500  2 Co 2.39, 2 Tc 2.55
Tc 0.0691 0.6250 0.2500  2 Co 2.39, 2 Tc 2.55
Tc 0.6809 0.1250 0.2500  2 Co 2.39, 2 Tc 2.55
Tc 0.3750 0.3191 0.7500  2 Co 2.39, 2 Tc 2.55